Crystalline LaCeZn2Ge2 at its relaxed geometry, computed with PBE.

Magnetic moment   0.8 μB per formula unit
Volume   22.5 A^3/atom
Space-group type   No. 164
E_form   -0.636 eV per atom

a b c (Å): 4.2655 4.2655 8.5573
angles (deg): 90.00 90.00 120.00
Last column: nearest neighbours and their distance in Å.
Positions (direct):
Zn (0.6667, 0.3333, 0.2652)  3 Ge 2.46
Ce (0.0000, 0.0000, 0.5000)  6 Zn 3.18, 6 Ge 3.24
Ge (0.6667, 0.3333, 0.7461)  3 Zn 2.46
La (0.0000, 0.0000, 0.0000)  6 Ge 3.28, 6 Zn 3.35
Zn (0.3333, 0.6667, 0.7348)  3 Ge 2.46
Ge (0.3333, 0.6667, 0.2539)  3 Zn 2.46